# LiRe2Ni

A relaxed LiRe2Ni crystal (PBE-GGA, Alexandria).

Results
Space group: P4/mmm, No. 123
DFT formation energy, meV/atom: 473
Distance to the lowest polymorph of the same formula, meV/atom: 349
Density of states at the Fermi level, states/eV/f.u.: 4.7

a = 4.463 Å, b = 4.463 Å, c = 2.579 Å
α = 90.00°, β = 90.00°, γ = 90.00°
Element x y z (fractional)
Re  0.500  0.500  0.000
Re  0.000  0.000  0.000
Ni  0.000  0.500  0.500
Li  0.500  0.000  0.500